# 1
Here is MgTc2Br after structural relaxation from Alexandria. Energies are from PBE.

Cell: 8.9881 8.9881 8.9881 Å, 19.05 19.05 19.05°
Sites, in units of the cell vectors:
Mg1 0.0000 0.0000 0.0000
Tc1 0.2457 0.2457 0.2457
Tc2 0.7543 0.7543 0.7543
Br1 0.5000 0.5000 0.5000

ΔE to the lowest computed polymorph	651	meV per atom
ΔE_f (raw)	0.69	eV/atom
space-group type	R-3m (166)


# 2
Here is MgTcBr2 after structural relaxation from Alexandria. Energies are from PBE.

Cell: 3.5782 3.5782 9.5503 Å, 90.00 90.00 125.47°
Sites, in units of the cell vectors:
Mg1 0.0000 0.0000 0.0000
Tc1 0.0000 0.0000 0.5000
Br1 0.5000 0.5000 0.2906
Br2 0.5000 0.5000 0.7094

ΔE to the lowest computed polymorph	463	meV per atom
ΔE_f (raw)	0.31	eV/atom
space-group type	Cmmm (65)


Q: ΔE_f (raw) of number 2 (MgTcBr2)?
A: 0.31 eV/atom


Copy entry 1 word for word.
Here is MgTc2Br after structural relaxation from Alexandria. Energies are from PBE.

Cell: 8.9881 8.9881 8.9881 Å, 19.05 19.05 19.05°
Sites, in units of the cell vectors:
Mg1 0.0000 0.0000 0.0000
Tc1 0.2457 0.2457 0.2457
Tc2 0.7543 0.7543 0.7543
Br1 0.5000 0.5000 0.5000

ΔE to the lowest computed polymorph	651	meV per atom
ΔE_f (raw)	0.69	eV/atom
space-group type	R-3m (166)


Q: ΔE to the lowest computed polymorph of number 2 (MgTcBr2)?
A: 463 meV per atom


Q: The highest ΔE_f (raw) belongs to which entry?
A: MgTc2Br